{"formula": "CrBi2SbO8", "functional": "GGA+U", "state": "optimized geometry", "spacegroup": "P2/m", "e_tot_ev_per_atom": -6.136, "lattice": [[-2.634, -4.094, -1.224], [-0.591, -0.953, 4.883], [-5.544, 3.559, 0.023]], "species": ["O", "O", "O", "O", "O", "O", "Bi", "Sb", "Bi", "O", "O", "Cr"], "frac_coords": [[0.174, 0.824, 0.247], [0.711, 0.713, 0.000], [0.736, 0.740, 0.500], [0.826, 0.176, 0.247], [0.289, 0.287, 0.000], [0.174, 0.824, 0.753], [0.500, 0.500, 0.745], [0.000, 0.000, 0.000], [0.500, 0.500, 0.255], [0.826, 0.176, 0.753], [0.264, 0.260, 0.500], [0.000, 0.000, 0.500]]}